DFT (GGA-PBE) results for a relaxed Ac6As2PtSe3 crystal.

Summary:
- ρ: 8.31 g/cm³
- E_form (uncorrected): -1.638 eV per atom
- Volume: 32.36 Å³/atom
- DOS(E_F): 7.16 states/eV per cell
- Energy: -70.1 eV for the cell shown
- Size of the total moment: 0.00 μB/atom

Cell and atoms, written as POSCAR:
```
Ac6As2PtSe3
1.0
9.8342 -2.2317 0.0000
9.8342 2.2317 0.0000
-2.0938 0.0000 8.8467
Ac As Pt Se
6 2 1 3
Direct
0.0013 0.0013 0.2369
0.3311 0.3311 0.4218
0.3367 0.3367 0.9122
0.6633 0.6633 0.0878
0.6689 0.6689 0.5782
0.9987 0.9987 0.7631
0.1664 0.1664 0.3348
0.8336 0.8336 0.6652
0.5000 0.5000 0.0000
0.1695 0.1695 0.8330
0.5000 0.5000 0.5000
0.8305 0.8305 0.1670
```

***

DFT (GGA-PBE) results for a relaxed NiIr12Rh3 crystal.

Summary:
- ρ: 19.40 g/cm³
- Volume: 14.30 Å³/atom
- Formation energy from the elements: 0.017 eV per atom
- DOS(E_F): 18.05 states/eV per cell
- Energy: -133.9 eV for the cell shown
- Size of the total moment: 0.06 μB/atom

Cell and atoms, written as POSCAR:
```
NiIr12Rh3
1.0
3.8550 0.0000 0.0000
0.0000 3.8550 0.0000
0.0000 0.0000 15.3997
Ni Ir Rh
1 12 3
Direct
0.0000 0.0000 0.0000
0.0000 0.5000 0.1228
0.0000 0.5000 0.3738
0.0000 0.5000 0.6262
0.0000 0.5000 0.8772
0.5000 0.0000 0.1228
0.5000 0.0000 0.3738
0.5000 0.0000 0.6262
0.5000 0.0000 0.8772
0.5000 0.5000 0.0000
0.5000 0.5000 0.2487
0.5000 0.5000 0.5000
0.5000 0.5000 0.7513
0.0000 0.0000 0.2475
0.0000 0.0000 0.5000
0.0000 0.0000 0.7525
```